Compound: ZnInHg2
Source: the Alexandria database
Functional: meta-GGA SCAN
Structure: PBEsol geometry

Unit cell a=3.4915 b=4.2232 c=6.2324 alpha=90.00 beta=108.00 gamma=90.00
With the nearest neighbours (Å) after each atom.
Element x y z (fractional)
Zn 0.0000 0.5000 0.5000  4 Hg 2.76, 2 In 3.07
Hg 0.8045 0.0000 0.7321  2 Zn 2.76, 1 Hg 3.01, 2 In 3.08
Hg 0.1955 0.0000 0.2679  2 Zn 2.76, 1 Hg 3.01, 2 In 3.08
In 0.5000 0.5000 0.0000  2 Zn 3.07, 8 Hg 3.08-3.26

Values from the calculation:
D(E_F): 0.335 states/eV/atom
E_tot: -182.8 eV per cell
Magnetization: 0.000 Bohr magnetons per cell